Entry 1:
# Si3OsF

A relaxed Si3OsF crystal (PBEsol, the Alexandria database).

Structure (CIF):
```
data_Si3OsF
_symmetry_space_group_name_H-M 'P m -3 m'
_symmetry_Int_Tables_number 221
_symmetry_space_group_name_Hall '-P 4 2 3'
_cell_length_a 4.0664
_cell_length_b 4.0664
_cell_length_c 4.0664
_cell_angle_alpha 90.00
_cell_angle_beta 90.00
_cell_angle_gamma 90.00
loop_
_atom_site_label
_atom_site_type_symbol
_atom_site_fract_x
_atom_site_fract_y
_atom_site_fract_z
Si1 Si 0.0000 0.0000 0.5000
Os1 Os 0.5000 0.5000 0.5000
F1 F 0.0000 0.0000 0.0000
```

Values from the calculation:
ρ	7.25	g cm⁻³
uncorrected formation energy	550.7	meV/atom



Entry 2:
# Li2CoCu

A relaxed Li2CoCu crystal (PBEsol, the Alexandria database).

Structure (CIF):
```
data_Li2CoCu
_symmetry_space_group_name_H-M 'C 1 m 1'
_symmetry_Int_Tables_number 8
_symmetry_space_group_name_Hall 'C -2y'
_cell_length_a 8.4887
_cell_length_b 2.4009
_cell_length_c 4.6862
_cell_angle_alpha 90.00
_cell_angle_beta 96.31
_cell_angle_gamma 90.00
loop_
_atom_site_label
_atom_site_type_symbol
_atom_site_fract_x
_atom_site_fract_y
_atom_site_fract_z
Li1 Li 0.0000 0.0000 0.0000
Li2 Li 0.2389 0.0000 0.7569
Co1 Co 0.2511 0.5000 0.2803
Cu1 Cu 0.4909 0.0000 0.4726
```

Values from the calculation:
ρ	4.77	g cm⁻³
formation enthalpy at 0 K	0.72	eV per formula unit



Entry 3:
# CoAg2Au

A relaxed CoAg2Au crystal (PBEsol, the Alexandria database).

Structure (CIF):
```
data_CoAg2Au
_symmetry_space_group_name_H-M 'F -4 3 m'
_symmetry_Int_Tables_number 216
_symmetry_space_group_name_Hall 'F -4 2 3'
_cell_length_a 6.2568
_cell_length_b 6.2568
_cell_length_c 6.2568
_cell_angle_alpha 90.00
_cell_angle_beta 90.00
_cell_angle_gamma 90.00
loop_
_atom_site_label
_atom_site_type_symbol
_atom_site_fract_x
_atom_site_fract_y
_atom_site_fract_z
Co1 Co 0.0000 0.0000 0.0000
Ag1 Ag 0.0000 0.0000 0.5000
Ag2 Ag 0.2500 0.2500 0.2500
Au1 Au 0.2500 0.2500 0.7500
```

Values from the calculation:
ρ	12.79	g cm⁻³
formation enthalpy at 0 K	1.25	eV per formula unit
E above lowest polymorph	119	meV/atom



Entry 4:
# SrHf2SnTe

A relaxed SrHf2SnTe crystal (PBEsol, the Alexandria database).

Structure (CIF):
```
data_SrHf2SnTe
_symmetry_space_group_name_H-M 'P 4/m m m'
_symmetry_Int_Tables_number 123
_symmetry_space_group_name_Hall '-P 4 2'
_cell_length_a 5.1903
_cell_length_b 5.1903
_cell_length_c 5.5881
_cell_angle_alpha 90.00
_cell_angle_beta 90.00
_cell_angle_gamma 90.00
loop_
_atom_site_label
_atom_site_type_symbol
_atom_site_fract_x
_atom_site_fract_y
_atom_site_fract_z
Sr1 Sr 0.0000 0.0000 0.0000
Hf1 Hf 0.0000 0.5000 0.0000
Sn1 Sn 0.0000 0.0000 0.5000
Te1 Te 0.5000 0.5000 0.5000
```

Values from the calculation:
ρ	7.62	g cm⁻³
uncorrected formation energy	1668.8	meV/atom



Entry 5:
# CaMoN3

A relaxed CaMoN3 crystal (PBEsol, the Alexandria database).

Structure (CIF):
```
data_CaMoN3
_symmetry_space_group_name_H-M 'P m m 2'
_symmetry_Int_Tables_number 25
_symmetry_space_group_name_Hall 'P 2 -2'
_cell_length_a 3.4810
_cell_length_b 4.2072
_cell_length_c 8.7026
_cell_angle_alpha 90.00
_cell_angle_beta 90.00
_cell_angle_gamma 90.00
loop_
_atom_site_label
_atom_site_type_symbol
_atom_site_fract_x
_atom_site_fract_y
_atom_site_fract_z
Ca1 Ca 0.0000 0.0000 0.0000
Ca2 Ca 0.0000 0.5000 0.3640
Mo1 Mo 0.5000 0.0000 0.5827
Mo2 Mo 0.5000 0.5000 0.7930
N1 N 0.0000 0.0000 0.4927
N2 N 0.0000 0.5000 0.8838
N3 N 0.5000 0.0000 0.8045
N4 N 0.5000 0.1463 0.2068
N5 N 0.5000 0.5000 0.5702
```

Values from the calculation:
ρ	4.64	g cm⁻³
uncorrected formation energy	-709.5	meV/atom



Entry 6:
# CuTc

A relaxed CuTc crystal (PBEsol, the Alexandria database).

Structure (CIF):
```
data_CuTc
_symmetry_space_group_name_H-M 'P -3 m 1'
_symmetry_Int_Tables_number 164
_symmetry_space_group_name_Hall '-P 3 2"'
_cell_length_a 2.6795
_cell_length_b 2.6795
_cell_length_c 8.3526
_cell_angle_alpha 90.00
_cell_angle_beta 90.00
_cell_angle_gamma 120.00
loop_
_atom_site_label
_atom_site_type_symbol
_atom_site_fract_x
_atom_site_fract_y
_atom_site_fract_z
Cu1 Cu 0.3333 0.6667 0.1182
Tc1 Tc 0.3333 0.6667 0.6222
```

Values from the calculation:
ρ	10.33	g cm⁻³
formation enthalpy at 0 K	0.21	eV per formula unit
E above lowest polymorph	0	meV/atom



- ρ of number 4 (SrHf2SnTe)?
  7.62 g cm⁻³